Here is crystalline Nd8In2Ag at its relaxed geometry from Alexandria via LeMat-Bulk. Energies are from PBE-GGA.

ΔE to the lowest computed polymorph, kJ/mol of formula units: 0
Energy of formation, meV/atom: -211
Calculated total energy, eV/atom: -4.435
Total magnetization, μB per cell: 0.000

a = 18.526 Å, b = 5.427 Å, c = 6.962 Å
α = 90.00°, β = 93.87°, γ = 90.00°
Space group C2/m (No. 12)
One atom of each set of equivalent atoms:
Nd 0.030 0.000 0.264 (multiplicity 4)
Nd 0.092 0.500 0.912 (multiplicity 4)
Nd 0.168 0.500 0.412 (multiplicity 4)
Nd 0.211 0.000 0.108 (multiplicity 4)
In 0.154 0.000 0.660 (multiplicity 4)
Ag 0.000 0.500 0.500 (multiplicity 2)